Entry 1:
Entry from OQMD: a relaxed BaGa2Ni2 crystal (PBE-GGA).

a = 8.220 Å, b = 6.387 Å, c = 7.884 Å
α = 90.00°, β = 96.07°, γ = 90.00°
Space group P2_1/c (No. 14)
One atom of each set of equivalent atoms:
Ba (0.235, 0.109, 0.000)
Ga (0.073, 0.578, 0.869)
Ga (0.442, 0.650, 0.191)
Ni (0.152, 0.671, 0.171)
Ni (0.371, 0.602, 0.896)

For the magnetic moment, the calculation gives 0.00 μB per atom. The value obtained for the total energy is -4.20 eV per atom. As for the volume: 412 Å³ per cell.



Entry 2:
Entry from OQMD: a relaxed Sc3In3PtAu2 crystal (PBE-GGA).

a = 7.6843 Å, b = 7.6843 Å, c = 3.5800 Å
α = 90.00°, β = 90.00°, γ = 120.00°
Space group P-62m (No. 189)
One atom of each set of equivalent atoms:
Sc (0.0000, 0.3893, 0.0000)
In (0.0000, 0.7284, 0.5000)
Pt (0.0000, 0.0000, 0.0000)
Au (0.3333, 0.6667, 0.5000)

For the magnetic moment, the calculation gives 0.00 μB per atom. The value obtained for the total energy is -5.17 eV per atom. As for the volume: 183 Å³ per cell.



Entry 3:
Entry from OQMD: a relaxed LiGdNiSe3 crystal (PBE-GGA).

a = 3.860 Å, b = 12.945 Å, c = 10.520 Å
α = 90.00°, β = 90.00°, γ = 90.00°
Space group Cmcm (No. 63)
One atom of each set of equivalent atoms:
Li (0.000, 0.223, 0.250)
Gd (0.000, 0.000, 0.000)
Ni (0.000, 0.485, 0.750)
Se (0.000, 0.094, 0.750)
Se (0.000, 0.354, 0.590)

For the magnetic moment, the calculation gives 0.00 μB per atom. The value obtained for the total energy is -4.84 eV per atom. As for the volume: 526 Å³ per cell.



Entry 4:
Entry from OQMD: a relaxed CsNbO3 crystal (PBE-GGA).

a = 6.7850 Å, b = 6.7850 Å, c = 17.6194 Å
α = 90.00°, β = 90.00°, γ = 120.00°
Space group R-3c (No. 167, hexagonal axes)
One atom of each set of equivalent atoms:
Cs (0.0000, 0.0000, 0.0000)
Nb (0.0000, 0.0000, 0.2500)
O (0.0000, 0.2680, 0.2500)

For the magnetic moment, the calculation gives 0.00 μB per atom. The value obtained for the total energy is -6.91 eV per atom. As for the volume: 702 Å³ per cell.



Entry 5:
Entry from OQMD: a relaxed RbYCdTe3 crystal (PBE-GGA).

a = 9.313 Å, b = 4.520 Å, c = 11.393 Å
α = 90.00°, β = 109.81°, γ = 90.00°
Space group P2_1/m (No. 11)
One atom of each set of equivalent atoms:
Rb (0.249, 0.250, 0.220)
Y (0.180, 0.750, 0.635)
Cd (0.420, 0.250, 0.888)
Te (0.041, 0.750, 0.353)
Te (0.257, 0.750, 0.940)
Te (0.415, 0.250, 0.641)

For the magnetic moment, the calculation gives 0.00 μB per atom. The value obtained for the total energy is -4.03 eV per atom. As for the volume: 451 Å³ per cell.



Entry 6:
Entry from OQMD: a relaxed NaHgBiPd crystal (PBE-GGA).

a = 7.015 Å, b = 7.015 Å, c = 7.015 Å
α = 90.00°, β = 90.00°, γ = 90.00°
Space group F-43m (No. 216)
One atom of each set of equivalent atoms:
Na (0.000, 0.000, 0.000)
Hg (0.250, 0.250, 0.750)
Bi (0.250, 0.250, 0.250)
Pd (0.000, 0.000, 0.500)

The value obtained for the total energy is -2.88 eV per atom. As for the volume: 345 Å³ per cell.